BaPIr2 | the Alexandria database | PBE-GGA | relaxed; DFT formation energy = 18.1 kcal/mol of atoms
1.0
-2.516 2.113 4.154
-5.142 -1.264 -0.099
4.408 -2.906 -0.414
P Ir Ba
1 2 1
Cartesian
-3.829 0.425 2.028 P
-2.282 -1.873 0.757 Ir
0.000 0.000 0.000 Ir
-0.968 -0.184 2.884 Ba